(1)
{
  "formula": "Zr4HgP",
  "functional": "PBE",
  "state": "optimized geometry",
  "lattice": [[0.000, 4.037, 4.037], [4.037, 0.000, 4.037], [4.037, 4.037, 0.000]],
  "species": ["Zr", "Zr", "Zr", "Zr", "Hg", "P"],
  "frac_coords": [[0.125, 0.125, 0.125], [0.125, 0.125, 0.626], [0.125, 0.626, 0.125], [0.626, 0.125, 0.125], [0.750, 0.750, 0.750], [0.500, 0.500, 0.500]],
  "ef_ev_per_atom": 0.36,
  "space_group": "No. 216",
  "n_ef_per_ev_fu": 5.134,
  "e_tot_ev_per_atom": -6.2915
}

=====

(2)
{
  "formula": "ZrHg4P",
  "functional": "PBE",
  "state": "optimized geometry",
  "lattice": [[0.000, 4.093, 4.093], [4.093, 0.000, 4.093], [4.093, 4.093, 0.000]],
  "species": ["Zr", "Hg", "Hg", "Hg", "Hg", "P"],
  "frac_coords": [[0.000, 0.000, 0.000], [0.125, 0.625, 0.625], [0.625, 0.125, 0.625], [0.625, 0.625, 0.125], [0.625, 0.625, 0.625], [0.250, 0.250, 0.250]],
  "ef_ev_per_atom": 0.50,
  "space_group": "No. 216",
  "n_ef_per_ev_fu": 4.899,
  "e_tot_ev_per_atom": -2.0275
}

=====

(3)
{
  "formula": "PaHg2",
  "functional": "PBE",
  "state": "optimized geometry",
  "lattice": [[0.000, 4.192, 4.192], [4.192, 0.000, 4.192], [4.192, 4.192, 0.000]],
  "species": ["Pa", "Pa", "Hg", "Hg", "Hg", "Hg"],
  "frac_coords": [[0.125, 0.125, 0.125], [0.875, 0.875, 0.875], [0.000, 0.500, 0.500], [0.500, 0.000, 0.500], [0.500, 0.500, 0.000], [0.500, 0.500, 0.500]],
  "ef_ev_per_atom": 0.23,
  "space_group": "No. 227",
  "n_ef_per_ev_fu": 6.247,
  "e_tot_ev_per_atom": -3.1359,
  "de_polymorph_ev_per_atom": 0.124
}

=====

Number 1: calculated volume 21.94 A^3/atom. Number 2: calculated volume 22.85 A^3/atom. Number 3: calculated volume 24.56 A^3/atom.